No. 1
# LaZnW2

An optimized crystal structure of LaZnW2 (GGA-PBE, Alexandria via LeMat-Bulk).

Cell and atoms, written as POSCAR:
```
LaZnW2
1.0
-0.8207 -4.0020 -2.4925
2.1502 -2.5789 3.4101
-3.6273 2.9126 1.1235
W Zn La
2 1 1
Direct
0.2500 0.7500 0.5000
0.0000 0.0000 0.0000
0.5000 0.5000 0.0000
0.7500 0.2500 0.5000
```

Total moment: 0.0 μB/cell
Formation energy: 2.56 eV per formula unit
Symmetry: I-4m2
Calculated total energy: -29.55 eV/cell


No. 2
# PmBe2Cl8

An optimized crystal structure of PmBe2Cl8 (GGA-PBE, Alexandria via LeMat-Bulk).

Cell and atoms, written as POSCAR:
```
PmBe2Cl8
1.0
6.1558 0.4026 0.3055
0.5075 7.8682 0.7676
0.5075 2.8579 7.3710
Be Cl Pm
2 8 1
Direct
0.6567 0.8275 0.8275
0.3433 0.1725 0.1725
0.2107 0.3158 0.3158
0.6764 0.1647 0.1647
0.3236 0.8353 0.8353
0.2418 0.3017 0.9023
0.7582 0.0977 0.6983
0.2418 0.9023 0.3017
0.7582 0.6983 0.0977
0.7893 0.6842 0.6842
0.0000 0.0000 0.0000
```

Total moment: 1.1 μB/cell
Symmetry: C2/m
Calculated total energy: -43.15 eV/cell
Formation energy from raw total energies: -1.47 eV/atom


No. 3
# Pr4AlPt

An optimized crystal structure of Pr4AlPt (GGA-PBE, Alexandria via LeMat-Bulk).

Cell and atoms, written as POSCAR:
```
Pr4AlPt
1.0
-0.4745 1.9278 5.1795
-6.3969 0.9734 -0.9483
-1.7718 -10.7847 0.8815
Pr Pt Al
8 2 2
Direct
0.4460 0.8355 0.8921
0.8957 0.3104 0.7914
0.2929 0.0610 0.5857
0.5540 0.3355 0.1079
0.3038 0.5758 0.6075
0.1043 0.8104 0.2086
0.6962 0.0758 0.3925
0.7071 0.5610 0.4143
0.5802 0.8286 0.1604
0.4198 0.3286 0.8396
0.8417 0.8220 0.6835
0.1583 0.3220 0.3165
```

Total moment: 0.0 μB/cell
Formation energy: -2.13 eV per formula unit
Symmetry: Cmc2_1
Calculated total energy: -62.07 eV/cell


No. 4
# SnSN2O

An optimized crystal structure of SnSN2O (GGA-PBE, Alexandria via LeMat-Bulk).

Cell and atoms, written as POSCAR:
```
SnSN2O
1.0
3.9816 0.0000 0.0000
0.0000 3.9816 0.0000
0.0000 0.0000 3.7639
O N S Sn
1 2 1 1
Direct
0.0000 0.0000 0.0000
0.5000 0.0000 0.0000
0.0000 0.5000 0.0000
0.0000 0.0000 0.5000
0.5000 0.5000 0.5000
```

Total moment: 0.0 μB/cell
Symmetry: P4/mmm
Calculated total energy: -20.97 eV/cell
Formation energy from raw total energies: 1.75 eV/atom


No. 5
# Pm2PrRu

An optimized crystal structure of Pm2PrRu (GGA-PBE, Alexandria via LeMat-Bulk).

Cell and atoms, written as POSCAR:
```
Pm2PrRu
1.0
3.9720 -0.1599 0.0000
-1.7357 6.2494 0.0000
0.0000 0.0000 9.5598
Pr Ru Pm
2 2 4
Direct
0.4200 0.8398 0.2500
0.5800 0.1602 0.7500
0.7502 0.5001 0.2500
0.2498 0.4999 0.7500
0.8570 0.7136 0.5703
0.1430 0.2864 0.0703
0.8570 0.7136 0.9297
0.1430 0.2864 0.4297
```

Total moment: 0.0 μB/cell
Formation energy: -0.72 eV per formula unit
Symmetry: Cmcm
Calculated total energy: -48.55 eV/cell


No. 6
# K3NaHg

An optimized crystal structure of K3NaHg (GGA-PBE, Alexandria via LeMat-Bulk).

Cell and atoms, written as POSCAR:
```
K3NaHg
1.0
-0.2190 -3.8625 -2.0321
7.1153 5.2137 -5.9779
8.7766 -4.1084 6.8632
K Na Hg
6 2 2
Direct
0.1096 0.2192 0.7500
0.3350 0.6699 0.5672
0.8904 0.7808 0.2500
0.6650 0.3301 0.0672
0.6650 0.3301 0.4328
0.3350 0.6699 0.9328
0.0000 0.0000 0.5000
0.0000 0.0000 0.0000
0.2573 0.5145 0.2500
0.7427 0.4855 0.7500
```

Total moment: 0.0 μB/cell
Formation energy: -0.17 eV per formula unit
Symmetry: Cmcm
Calculated total energy: -10.16 eV/cell